1.
This record from Alexandria describes a relaxed Re2AgMo crystal. The functional is PBE.

Calculated values
- DOS(E_F): 3.5 states/eV/cell
- Space-group type: R-3m
- M_tot: 0.0000 μB per atom

Cell: 9.5492 9.5492 9.5492 Å, 16.82 16.82 16.82°
Sites, in units of the cell vectors:
Re: 0.4954 0.4954 0.4954
Re: 0.0046 0.0046 0.0046
Mo: 0.7500 0.7500 0.7500
Ag: 0.2500 0.2500 0.2500

---

2.
This record from Alexandria describes a relaxed Re2AgMo crystal. The functional is PBE.

Calculated values
- DOS(E_F): 3.0 states/eV/cell
- Space-group type: I-4m2
- M_tot: 0.0000 μB per atom

Cell: 4.8429 4.8429 4.8429 Å, 131.63 131.63 70.81°
Sites, in units of the cell vectors:
Re: 0.2500 0.7500 0.5000
Re: 0.0000 0.0000 0.0000
Ag: 0.5000 0.5000 0.0000
Mo: 0.7500 0.2500 0.5000

---

What should be chosen as the most stable of them? Choose 1.

---

1.
This record from Alexandria describes a relaxed Re2AgMo crystal. The functional is PBE.

Calculated values
- DOS(E_F): 3.3 states/eV/cell
- Space-group type: F-43m
- M_tot: 0.0000 μB per atom

Cell: 4.4672 4.4672 4.4672 Å, 60.00 60.00 60.00°
Sites, in units of the cell vectors:
Re: 0.0000 0.0000 0.0000
Re: 0.7500 0.7500 0.7500
Mo: 0.2500 0.2500 0.2500
Ag: 0.5000 0.5000 0.5000

---

2.
This record from Alexandria describes a relaxed Re2AgMo crystal. The functional is PBE.

Calculated values
- DOS(E_F): 4.2 states/eV/cell
- Space-group type: Imm2
- M_tot: 0.0000 μB per atom

Cell: 5.3289 5.3289 5.3289 Å, 146.22 129.85 61.84°
Sites, in units of the cell vectors:
Mo: 0.2314 0.7314 0.5000
Re: 0.7692 0.2692 0.5000
Re: 0.9960 0.9960 0.0000
Ag: 0.5034 0.5034 0.0000

---

3.
This record from Alexandria describes a relaxed Re2AgMo crystal. The functional is PBE.

Calculated values
- DOS(E_F): 3.7 states/eV/cell
- Space-group type: Immm
- M_tot: 0.0000 μB per atom

Cell: 5.3416 5.3416 5.3416 Å, 146.61 129.71 61.72°
Sites, in units of the cell vectors:
Re: 0.0186 0.0186 0.0000
Re: 0.4814 0.4814 0.0000
Ag: 0.7500 0.2500 0.5000
Mo: 0.2500 0.7500 0.5000

---

What should be chosen as the most stable of them? Choose 3.

---

1.
This record from Alexandria describes a relaxed Re2AgMo crystal. The functional is PBE.

Calculated values
- DOS(E_F): 2.9 states/eV/cell
- Space-group type: Pmmm
- M_tot: 0.0000 μB per atom

Cell: 2.7734 4.0736 5.6252 Å, 90.00 90.00 90.00°
Sites, in units of the cell vectors:
Ag: 0.5000 0.5000 0.2500
Mo: 0.5000 0.5000 0.7500
Re: 0.0000 0.0000 0.5248
Re: 0.0000 0.0000 0.9752

---

2.
This record from Alexandria describes a relaxed Re2AgMo crystal. The functional is PBE.

Calculated values
- DOS(E_F): 2.5 states/eV/cell
- Space-group type: Pm
- M_tot: 0.0000 μB per atom

Cell: 4.0326 2.7830 6.3108 Å, 63.52 90.00 90.00°
Sites, in units of the cell vectors:
Re: 0.0000 0.0174 0.0084
Re: 0.5000 0.2704 0.2208
Mo: 0.5000 0.7168 0.7698
Ag: 0.0000 0.4953 0.5011

---

What should be chosen as the most stable of them? Choose 2.

---

1.
This record from Alexandria describes a relaxed Re2AgMo crystal. The functional is PBE.

Calculated values
- DOS(E_F): 3.3 states/eV/cell
- Space-group type: Cmmm
- M_tot: 0.0000 μB per atom

Cell: 4.9569 4.9569 2.7343 Å, 90.00 90.00 111.51°
Sites, in units of the cell vectors:
Re: 0.0000 0.0000 0.0000
Re: 0.5000 0.5000 0.0000
Mo: 0.0000 0.5000 0.5000
Ag: 0.5000 0.0000 0.5000

---

2.
This record from Alexandria describes a relaxed Re2AgMo crystal. The functional is PBE.

Calculated values
- DOS(E_F): 3.8 states/eV/cell
- Space-group type: Cmm2
- M_tot: 0.0000 μB per atom

Cell: 2.6983 2.6983 9.4082 Å, 90.00 90.00 110.89°
Sites, in units of the cell vectors:
Re: 0.5000 0.5000 0.2344
Re: 0.0000 0.0000 0.0009
Ag: 0.0000 0.0000 0.4999
Mo: 0.5000 0.5000 0.7647

---

3.
This record from Alexandria describes a relaxed Re2AgMo crystal. The functional is PBE.

Calculated values
- DOS(E_F): 7.8 states/eV/cell
- Space-group type: I-42d
- M_tot: 0.0000 μB per atom

Cell: 7.2511 7.2511 5.7840 Å, 51.18 51.18 90.00°
Sites, in units of the cell vectors:
Ag: 0.7500 0.2500 0.5000
Ag: 0.0000 0.0000 0.0000
Mo: 0.2500 0.7500 0.5000
Mo: 0.5000 0.5000 0.0000
Re: 0.1568 0.6250 0.2500
Re: 0.3750 0.4068 0.7500
Re: 0.5932 0.1250 0.2500
Re: 0.8750 0.8432 0.7500

---

4.
This record from Alexandria describes a relaxed Re2AgMo crystal. The functional is PBE.

Calculated values
- DOS(E_F): 3.7 states/eV/cell
- Space-group type: Cm
- M_tot: 0.0000 μB per atom

Cell: 4.9144 4.9144 4.8339 Å, 79.10 79.10 33.45°
Sites, in units of the cell vectors:
Mo: 0.2577 0.2577 0.2373
Re: 0.7405 0.7405 0.7739
Re: 0.0032 0.0032 0.9913
Ag: 0.4986 0.4986 0.4975

---

What should be chosen as the most stable of them? Choose 2.

---

1.
This record from Alexandria describes a relaxed Re2AgMo crystal. The functional is PBE.

Calculated values
- DOS(E_F): 3.0 states/eV/cell
- Space-group type: P2/m
- M_tot: 0.0000 μB per atom

Cell: 4.5527 2.6656 5.2512 Å, 81.37 90.00 90.00°
Sites, in units of the cell vectors:
Re: 0.0000 0.9772 0.9990
Re: 0.0000 0.5228 0.5010
Ag: 0.5000 0.2500 0.2500
Mo: 0.5000 0.7500 0.7500

---

2.
This record from Alexandria describes a relaxed Re2AgMo crystal. The functional is PBE.

Calculated values
- DOS(E_F): 1.4 states/eV/cell
- Space-group type: R3m
- M_tot: 0.0000 μB per atom

Cell: 9.6094 9.6094 9.6094 Å, 16.65 16.65 16.65°
Sites, in units of the cell vectors:
Ag: 0.5008 0.5008 0.5008
Mo: 0.7463 0.7463 0.7463
Re: 0.9976 0.9976 0.9976
Re: 0.2554 0.2554 0.2554

---

3.
This record from Alexandria describes a relaxed Re2AgMo crystal. The functional is PBE.

Calculated values
- DOS(E_F): 3.4 states/eV/cell
- Space-group type: Fm-3m
- M_tot: 0.0000 μB per atom

Cell: 4.4668 4.4668 4.4668 Å, 60.00 60.00 60.00°
Sites, in units of the cell vectors:
Ag: 0.5000 0.5000 0.5000
Re: 0.7500 0.7500 0.7500
Re: 0.2500 0.2500 0.2500
Mo: 0.0000 0.0000 0.0000

---

What should be chosen as the most stable of them? Choose 2.

---

1.
This record from Alexandria describes a relaxed ReAgMo crystal. The functional is PBE.

Calculated values
- DOS(E_F): 2.5 states/eV/cell
- Space-group type: F-43m
- M_tot: 0.0000 μB per atom

Cell: 4.3268 4.3268 4.3268 Å, 60.00 60.00 60.00°
Sites, in units of the cell vectors:
Ag: 0.0000 0.0000 0.0000
Mo: 0.5000 0.5000 0.5000
Re: 0.2500 0.2500 0.2500

---

2.
This record from Alexandria describes a relaxed ReAgMo crystal. The functional is PBE.

Calculated values
- DOS(E_F): 2.9 states/eV/cell
- Space-group type: Fmm2
- M_tot: 0.0000 μB per atom

Cell: 7.4003 7.2217 2.7305 Å, 82.94 75.58 21.48°
Sites, in units of the cell vectors:
Re: 0.6759 0.6759 0.3241
Ag: 0.0000 0.0000 0.0000
Mo: 0.3241 0.3241 0.6759

---

What should be chosen as the most stable of them? Choose 2.

---

1.
This record from Alexandria describes a relaxed AgMoRh crystal. The functional is PBE.

Calculated values
- DOS(E_F): 2.0 states/eV/cell
- Space-group type: Fmm2
- M_tot: 0.0000 μB per atom

Cell: 7.4982 7.2924 2.7230 Å, 83.68 75.16 21.16°
Sites, in units of the cell vectors:
Mo: 0.6752 0.6752 0.3248
Rh: 0.3257 0.3257 0.6743
Ag: 0.9991 0.9991 0.0009

---

2.
This record from Alexandria describes a relaxed AgMoRh crystal. The functional is PBE.

Calculated values
- DOS(E_F): 2.1 states/eV/cell
- Space-group type: Imm2
- M_tot: 0.0000 μB per atom

Cell: 4.8814 4.8814 4.8814 Å, 146.61 132.55 59.26°
Sites, in units of the cell vectors:
Ag: 0.0004 0.0004 0.0000
Mo: 0.3250 0.3250 0.0000
Rh: 0.6746 0.6746 0.0000

---

3.
This record from Alexandria describes a relaxed AgMoRh crystal. The functional is PBE.

Calculated values
- DOS(E_F): 3.4 states/eV/cell
- Space-group type: I4mm
- M_tot: 0.0000 μB per atom

Cell: 6.3716 6.3716 6.3716 Å, 154.55 154.55 36.30°
Sites, in units of the cell vectors:
Ag: 0.0008 0.0008 0.0000
Mo: 0.3218 0.3218 0.0000
Rh: 0.6774 0.6774 0.0000

---

What should be chosen as the most stable of them? Choose 3.

---

1.
This record from Alexandria describes a relaxed AgMo2Rh2 crystal. The functional is PBE.

Calculated values
- DOS(E_F): 6.1 states/eV/cell
- Space-group type: P4/mbm
- M_tot: 0.0000 μB per atom

Cell: 7.6943 7.6943 2.7569 Å, 90.00 90.00 90.00°
Sites, in units of the cell vectors:
Rh: 0.8286 0.3286 0.5000
Rh: 0.3286 0.1714 0.5000
Rh: 0.1714 0.6714 0.5000
Rh: 0.6714 0.8286 0.5000
Ag: 0.0000 0.0000 0.0000
Ag: 0.5000 0.5000 0.0000
Mo: 0.3816 0.8816 0.0000
Mo: 0.6184 0.1184 0.0000
Mo: 0.1184 0.3816 0.0000
Mo: 0.8816 0.6184 0.0000

---

2.
This record from Alexandria describes a relaxed AgMo2Rh2 crystal. The functional is PBE.

Calculated values
- DOS(E_F): 11.2 states/eV/cell
- Space-group type: P4/mbm
- M_tot: 0.0000 μB per atom

Cell: 7.6237 7.6237 2.7725 Å, 90.00 90.00 90.00°
Sites, in units of the cell vectors:
Rh: 0.3735 0.8735 0.0000
Rh: 0.1265 0.3735 0.0000
Rh: 0.8735 0.6265 0.0000
Rh: 0.6265 0.1265 0.0000
Mo: 0.1674 0.6674 0.5000
Mo: 0.8326 0.3326 0.5000
Mo: 0.3326 0.1674 0.5000
Mo: 0.6674 0.8326 0.5000
Ag: 0.0000 0.0000 0.0000
Ag: 0.5000 0.5000 0.0000

---

What should be chosen as the most stable of them? Choose 2.

---

1.
This record from Alexandria describes a relaxed Ag2MoRu crystal. The functional is PBE.

Calculated values
- DOS(E_F): 3.7 states/eV/cell
- Space-group type: Cmmm
- M_tot: 0.2514 μB per atom

Cell: 2.6809 2.6809 9.6706 Å, 90.00 90.00 109.73°
Each line ends with the local moment (μB).
Sites, in units of the cell vectors:
Ru: 0.5000 0.5000 0.7500  1.03
Ag: 0.0000 0.0000 0.9967  0.01
Ag: 0.0000 0.0000 0.5033  0.01
Mo: 0.5000 0.5000 0.2500  -0.06

---

2.
This record from Alexandria describes a relaxed Ag2MoRu crystal. The functional is PBE.

Calculated values
- DOS(E_F): 2.8 states/eV/cell
- Space-group type: I4/mmm
- M_tot: 0.0000 μB per atom

Cell: 5.2846 5.2846 5.2846 Å, 138.46 138.35 60.29°
Sites, in units of the cell vectors:
Ag: 0.0000 0.0000 0.0000
Ag: 0.5000 0.5000 0.0000
Mo: 0.7500 0.2500 0.5000
Ru: 0.2500 0.7500 0.5000

---

3.
This record from Alexandria describes a relaxed Ag2MoRu crystal. The functional is PBE.

Calculated values
- DOS(E_F): 3.5 states/eV/cell
- Space-group type: C2/m
- M_tot: 0.0930 μB per atom

Cell: 5.1439 5.1439 4.7180 Å, 80.82 80.82 31.58°
Each line ends with the local moment (μB).
Sites, in units of the cell vectors:
Mo: 0.7500 0.7500 0.7500  -0.08
Ag: 0.5013 0.5013 0.4994  0.00
Ag: 0.9987 0.9987 0.0006  0.00
Ru: 0.2500 0.2500 0.2500  0.43

---

What should be chosen as the most stable of them? Choose 3.

---

1.
This record from Alexandria describes a relaxed Ag2Mo2Ru crystal. The functional is PBE.

Calculated values
- DOS(E_F): 5.0 states/eV/cell
- Space-group type: I4/mmm
- M_tot: 0.0000 μB per atom

Cell: 3.6188 3.6188 7.3761 Å, 75.80 75.80 90.00°
Sites, in units of the cell vectors:
Mo: 0.5806 0.5806 0.8388
Mo: 0.4194 0.4194 0.1612
Ag: 0.2500 0.7500 0.5000
Ag: 0.7500 0.2500 0.5000
Ru: 0.0000 0.0000 0.0000

---

2.
This record from Alexandria describes a relaxed Ag2Mo2Ru crystal. The functional is PBE.

Calculated values
- DOS(E_F): 7.4 states/eV/cell
- Space-group type: P4/mbm
- M_tot: 0.0000 μB per atom

Cell: 6.2267 6.2267 4.7009 Å, 90.00 90.00 90.00°
Sites, in units of the cell vectors:
Mo: 0.8680 0.6320 0.0000
Mo: 0.1320 0.3680 0.0000
Mo: 0.3680 0.8680 0.0000
Mo: 0.6320 0.1320 0.0000
Ag: 0.6676 0.8324 0.5000
Ag: 0.3324 0.1676 0.5000
Ag: 0.1676 0.6676 0.5000
Ag: 0.8324 0.3324 0.5000
Ru: 0.0000 0.0000 0.0000
Ru: 0.5000 0.5000 0.0000

---

What should be chosen as the most stable of them? Choose 2.

---

1.
This record from Alexandria describes a relaxed AgMoRu crystal. The functional is PBE.

Calculated values
- DOS(E_F): 2.2 states/eV/cell
- Space-group type: I4mm
- M_tot: 0.0000 μB per atom

Cell: 6.1059 6.1059 6.1059 Å, 152.47 152.47 39.32°
Sites, in units of the cell vectors:
Ru: 0.6820 0.6820 0.0000
Mo: 0.3162 0.3162 0.0000
Ag: 0.0018 0.0018 0.0000

---

2.
This record from Alexandria describes a relaxed AgMoRu crystal. The functional is PBE.

Calculated values
- DOS(E_F): 2.3 states/eV/cell
- Space-group type: P3m1
- M_tot: 0.0000 μB per atom

Cell: 2.7916 2.7916 7.0634 Å, 90.00 90.00 120.00°
Sites, in units of the cell vectors:
Mo: 0.6667 0.3333 0.3546
Ru: 0.3333 0.6667 0.6481
Ag: 0.0000 0.0000 0.9973

---

What should be chosen as the most stable of them? Choose 2.